# Rb2MnOsF6, optimized geometry, DFT PBE+U
# D(E_F) in states/eV per atom: 0.000
# VASP energy in eV for the cell shown: -52.26
data_Rb2MnOsF6
_cell_length_a 6.063
_cell_length_b 6.063
_cell_length_c 6.063
_cell_angle_alpha 60.00
_cell_angle_beta 60.00
_cell_angle_gamma 90.00
_symmetry_space_group_name_H-M 'P 1'
_symmetry_Int_Tables_number 1
_symmetry_space_group_name_Hall 'P 1'
loop_
_atom_site_label
_atom_site_type_symbol
_atom_site_fract_x
_atom_site_fract_y
_atom_site_fract_z
Mn1 Mn 0.500 0.500 0.000
Os1 Os 0.000 0.000 0.000
Rb1 Rb 0.750 0.250 0.500
Rb2 Rb 0.250 0.750 0.500
F1 F 0.251 0.251 0.497
F2 F 0.749 0.749 0.503
F3 F 0.251 0.251 0.000
F4 F 0.749 0.749 0.000
F5 F 0.749 0.251 0.000
F6 F 0.251 0.749 0.000